# MgTc2Se | the Alexandria database | PBE | optimized geometry
# Calculated density ... 7.307 g/cm³
# Size of the total moment ... 0.0 μB/cell
# Formation energy without anion corrections ... 0.13 kcal/mol of atoms
data_MgTc2Se
_cell_length_a 2.9973
_cell_length_b 2.9973
_cell_length_c 7.5704
_cell_angle_alpha 90.00
_cell_angle_beta 90.00
_cell_angle_gamma 90.00
_space_group_name_H-M_alt 'P 1'
_space_group_IT_number 1
loop_
_space_group_symop_operation_xyz
'x,y,z'
loop_
_atom_site_label
_atom_site_type_symbol
_atom_site_fract_x
_atom_site_fract_y
_atom_site_fract_z
Mg1 Mg 0.0000 0.0000 0.4687
Se1 Se 0.5000 0.5000 0.8016
Tc1 Tc 0.0000 0.0000 0.0058
Tc2 Tc 0.5000 0.5000 0.2239



# YMgCd | the Alexandria database | PBE | optimized geometry
# Calculated density ... 4.955 g/cm³
# Calculated total energy ... -3.226 eV per atom
# Size of the total moment ... 0.0 μB/cell
data_YMgCd
_cell_length_a 5.0333
_cell_length_b 5.0333
_cell_length_c 3.4465
_cell_angle_alpha 90.00
_cell_angle_beta 90.00
_cell_angle_gamma 120.00
_space_group_name_H-M_alt 'P 1'
_space_group_IT_number 1
loop_
_space_group_symop_operation_xyz
'x,y,z'
loop_
_atom_site_label
_atom_site_type_symbol
_atom_site_fract_x
_atom_site_fract_y
_atom_site_fract_z
Y1 Y 0.3333 0.6667 0.6664
Mg1 Mg 0.6667 0.3333 0.1675
Cd1 Cd 0.0000 0.0000 0.1661



# Sc2FeW | the Alexandria database | PBE | optimized geometry
# Calculated density ... 7.728 g/cm³
# Calculated total energy ... -8.158 eV per atom
# Size of the total moment ... 2.7 μB/cell
data_Sc2FeW
_cell_length_a 5.0759
_cell_length_b 5.0759
_cell_length_c 5.0759
_cell_angle_alpha 131.99
_cell_angle_beta 131.99
_cell_angle_gamma 70.25
_space_group_name_H-M_alt 'P 1'
_space_group_IT_number 1
loop_
_space_group_symop_operation_xyz
'x,y,z'
loop_
_atom_site_label
_atom_site_type_symbol
_atom_site_fract_x
_atom_site_fract_y
_atom_site_fract_z
Fe1 Fe 0.7500 0.2500 0.5000
Sc1 Sc 0.0000 0.0000 0.0000
Sc2 Sc 0.5000 0.5000 0.0000
W1 W 0.2500 0.7500 0.5000



# KSn2TeO2 | the Alexandria database | PBE | optimized geometry
# Calculated density ... 4.437 g/cm³
# Size of the total moment ... 0.0 μB/cell
# Formation energy without anion corrections ... -24.47 kcal/mol of atoms
data_KSn2TeO2
_cell_length_a 5.9630
_cell_length_b 6.6246
_cell_length_c 8.2914
_cell_angle_alpha 94.68
_cell_angle_beta 90.00
_cell_angle_gamma 90.00
_space_group_name_H-M_alt 'P 1'
_space_group_IT_number 1
loop_
_space_group_symop_operation_xyz
'x,y,z'
loop_
_atom_site_label
_atom_site_type_symbol
_atom_site_fract_x
_atom_site_fract_y
_atom_site_fract_z
K1 K 0.2500 0.1568 0.9210
K2 K 0.7500 0.8432 0.0790
Sn1 Sn 0.2500 0.1532 0.3718
Sn2 Sn 0.2500 0.6317 0.7429
Sn3 Sn 0.7500 0.8468 0.6282
Sn4 Sn 0.7500 0.3683 0.2571
Te1 Te 0.7500 0.3094 0.6124
Te2 Te 0.2500 0.6906 0.3876
O1 O 0.4982 0.1582 0.2010
O2 O 0.0018 0.1582 0.2010
O3 O 0.9982 0.8418 0.7990
O4 O 0.5018 0.8418 0.7990



# KAsHBr2 | the Alexandria database | PBE | optimized geometry
# Calculated density ... 1.577 g/cm³
# Calculated total energy ... -1.875 eV per atom
# Size of the total moment ... 4.6 μB/cell
data_KAsHBr2
_cell_length_a 6.2817
_cell_length_b 6.2817
_cell_length_c 7.3325
_cell_angle_alpha 90.00
_cell_angle_beta 90.00
_cell_angle_gamma 90.00
_space_group_name_H-M_alt 'P 1'
_space_group_IT_number 1
loop_
_space_group_symop_operation_xyz
'x,y,z'
loop_
_atom_site_label
_atom_site_type_symbol
_atom_site_fract_x
_atom_site_fract_y
_atom_site_fract_z
H1 H 0.5000 0.5000 0.5000
As1 As 0.0000 0.0000 0.5000
K1 K 0.0000 0.0000 0.0000
Br1 Br 0.0000 0.5000 0.0000
Br2 Br 0.5000 0.0000 0.0000



# EuEr3Fe | the Alexandria database | PBE | optimized geometry
# Calculated density ... 7.998 g/cm³
# Calculated total energy ... -6.446 eV per atom
# Size of the total moment ... 7.3 μB/cell
data_EuEr3Fe
_cell_length_a 5.2816
_cell_length_b 5.2816
_cell_length_c 5.2816
_cell_angle_alpha 90.00
_cell_angle_beta 90.00
_cell_angle_gamma 90.00
_space_group_name_H-M_alt 'P 1'
_space_group_IT_number 1
loop_
_space_group_symop_operation_xyz
'x,y,z'
loop_
_atom_site_label
_atom_site_type_symbol
_atom_site_fract_x
_atom_site_fract_y
_atom_site_fract_z
Eu1 Eu 0.5000 0.5000 0.5000
Fe1 Fe 0.0000 0.0000 0.0000
Er1 Er 0.0000 0.5000 0.0000
Er2 Er 0.0000 0.0000 0.5000
Er3 Er 0.5000 0.0000 0.0000



# SrRu | the Alexandria database | PBE | optimized geometry
# Calculated density ... 4.613 g/cm³
# Calculated total energy ... -5.083 eV per atom
# Size of the total moment ... 0.0 μB/cell
data_SrRu
_cell_length_a 11.3572
_cell_length_b 11.3572
_cell_length_c 4.2130
_cell_angle_alpha 90.00
_cell_angle_beta 90.00
_cell_angle_gamma 90.00
_space_group_name_H-M_alt 'P 1'
_space_group_IT_number 1
loop_
_space_group_symop_operation_xyz
'x,y,z'
loop_
_atom_site_label
_atom_site_type_symbol
_atom_site_fract_x
_atom_site_fract_y
_atom_site_fract_z
Sr1 Sr 0.2336 0.5000 0.0000
Sr2 Sr 0.7664 0.5000 0.0000
Sr3 Sr 0.5000 0.7664 0.0000
Sr4 Sr 0.5000 0.2336 0.0000
Sr5 Sr 0.7336 0.0000 0.5000
Sr6 Sr 0.2664 0.0000 0.5000
Sr7 Sr 0.0000 0.2664 0.5000
Sr8 Sr 0.0000 0.7336 0.5000
Ru1 Ru 0.7815 0.7815 0.0000
Ru2 Ru 0.7815 0.2185 0.0000
Ru3 Ru 0.2185 0.7815 0.0000
Ru4 Ru 0.2185 0.2185 0.0000
Ru5 Ru 0.2815 0.2815 0.5000
Ru6 Ru 0.2815 0.7185 0.5000
Ru7 Ru 0.7185 0.2815 0.5000
Ru8 Ru 0.7185 0.7185 0.5000



# ThSc2Co9 | the Alexandria database | PBE | optimized geometry
# Calculated density ... 8.502 g/cm³
# Calculated total energy ... -7.264 eV per atom
# Size of the total moment ... 9.7 μB/cell
data_ThSc2Co9
_cell_length_a 4.8994
_cell_length_b 4.8994
_cell_length_c 8.4933
_cell_angle_alpha 73.24
_cell_angle_beta 73.24
_cell_angle_gamma 60.00
_space_group_name_H-M_alt 'P 1'
_space_group_IT_number 1
loop_
_space_group_symop_operation_xyz
'x,y,z'
loop_
_atom_site_label
_atom_site_type_symbol
_atom_site_fract_x
_atom_site_fract_y
_atom_site_fract_z
Th1 Th 0.0000 0.0000 0.0000
Sc1 Sc 0.8579 0.8579 0.4263
Sc2 Sc 0.1421 0.1421 0.5737
Co1 Co 0.6647 0.6647 0.0059
Co2 Co 0.3353 0.3353 0.9941
Co3 Co 0.5000 0.5000 0.5000
Co4 Co 0.4121 0.4121 0.2554
Co5 Co 0.9205 0.4121 0.2554
Co6 Co 0.4121 0.9205 0.2554
Co7 Co 0.5879 0.5879 0.7446
Co8 Co 0.5879 0.0795 0.7446
Co9 Co 0.0795 0.5879 0.7446